Entry from Alexandria via LeMat-Bulk: MgAsPdPt after structural relaxation (GGA-PBE).

Lattice parameters (Å, degrees): 6.372 6.372 6.372 90.00 90.00 90.00
Space group F-43m (No. 216)
Symmetry-distinct sites (fractional):
Mg1 0.000 0.000 0.000
As1 0.000 0.000 0.500
Pd1 0.250 0.250 0.750
Pt1 0.250 0.250 0.250

Calculated density, kg/m3: 10289
Energy relative to the elements, kJ/mol of atoms: -47.4

=====

Entry from Alexandria via LeMat-Bulk: PuMgAs2Pd5 after structural relaxation (GGA-PBE).

Lattice parameters (Å, degrees): 4.369 4.369 8.697 90.00 90.00 90.00
Space group P4/mmm (No. 123)
Symmetry-distinct sites (fractional):
Pu1 0.000 0.000 0.000
Mg1 0.000 0.000 0.500
As1 0.500 0.500 0.361
Pd1 0.000 0.500 0.234
Pd2 0.500 0.500 0.000

Calculated density, kg/m3: 9507
Energy relative to the elements, kJ/mol of atoms: -43.3

=====

Entry from Alexandria via LeMat-Bulk: Mg2Si2AsPd5 after structural relaxation (GGA-PBE).

Lattice parameters (Å, degrees): 9.703 9.703 3.458 90.00 90.00 90.00
Space group P4/mbm (No. 127)
Symmetry-distinct sites (fractional):
Mg1 0.171 0.329 0.000
Si1 0.128 0.628 0.000
As1 0.000 0.000 0.000
Pd1 0.000 0.500 0.500
Pd2 0.077 0.794 0.500

Calculated density, kg/m3: 7261
E_form (uncorrected), eV/atom: -0.553

=====

Entry from Alexandria via LeMat-Bulk: Sm2MgAs3Pd4 after structural relaxation (GGA-PBE).

Lattice parameters (Å, degrees): 4.143 4.143 11.301 90.00 90.00 90.00
Space group P-4m2 (No. 115)
Symmetry-distinct sites (fractional):
Sm1 0.000 0.500 0.222
Mg1 0.000 0.000 0.500
As1 0.000 0.500 0.861
As2 0.500 0.500 0.500
Pd1 0.000 0.000 0.000
Pd2 0.000 0.500 0.644
Pd3 0.500 0.500 0.000

Calculated density, kg/m3: 8350
Energy relative to the elements, kJ/mol of atoms: -85.6

=====

Entry from Alexandria via LeMat-Bulk: SmMgAs2Pd5 after structural relaxation (GGA-PBE).

Lattice parameters (Å, degrees): 4.316 4.316 8.901 90.00 90.00 90.00
Space group P4/mmm (No. 123)
Symmetry-distinct sites (fractional):
Sm1 0.000 0.000 0.000
Mg1 0.000 0.000 0.500
As1 0.500 0.500 0.364
Pd1 0.000 0.500 0.233
Pd2 0.500 0.500 0.000

Calculated density, kg/m3: 8577
Energy relative to the elements, kJ/mol of atoms: -57.3

=====

Entry from Alexandria via LeMat-Bulk: MgSn2As2Pd7 after structural relaxation (GGA-PBE).

Lattice parameters (Å, degrees): 5.571 5.618 14.686 90.00 96.07 90.00
Space group C2/m (No. 12)
Symmetry-distinct sites (fractional):
Mg1 0.000 0.000 0.000
Sn1 0.124 0.000 0.411
As1 0.069 0.500 0.241
Pd1 0.000 0.500 0.000
Pd2 0.110 0.500 0.412
Pd3 0.209 0.250 0.860

Calculated density, kg/m3: 8403
Energy relative to the elements, kJ/mol of atoms: -37.6

=====

Entry from Alexandria via LeMat-Bulk: Sr2MgAs4Pd3 after structural relaxation (GGA-PBE).

Lattice parameters (Å, degrees): 4.410 4.410 10.804 90.00 90.00 90.00
Space group P-4m2 (No. 115)
Symmetry-distinct sites (fractional):
Sr1 0.000 0.500 0.241
Mg1 0.000 0.000 0.500
As1 0.000 0.000 0.000
As2 0.000 0.500 0.643
As3 0.500 0.500 0.000
Pd1 0.000 0.500 0.879
Pd2 0.500 0.500 0.500

Calculated density, kg/m3: 6468
Energy relative to the elements, kJ/mol of atoms: -77.6

=====

Entry from Alexandria via LeMat-Bulk: TbMgAs2Pd5 after structural relaxation (GGA-PBE).

Lattice parameters (Å, degrees): 4.207 4.207 8.825 90.00 90.00 90.00
Space group P4/mmm (No. 123)
Symmetry-distinct sites (fractional):
Tb1 0.000 0.000 0.000
Mg1 0.000 0.000 0.500
As1 0.500 0.500 0.140
Pd1 0.000 0.500 0.285
Pd2 0.500 0.500 0.500

Calculated density, kg/m3: 9196
Energy relative to the elements, kJ/mol of atoms: -70.2

=====

Entry from Alexandria via LeMat-Bulk: MgTe2As2Pd7 after structural relaxation (GGA-PBE).

Lattice parameters (Å, degrees): 5.612 5.614 15.137 90.00 100.59 90.00
Space group C2/m (No. 12)
Symmetry-distinct sites (fractional):
Mg1 0.000 0.000 0.000
Te1 0.209 0.000 0.417
As1 0.117 0.500 0.235
Pd1 0.000 0.500 0.000
Pd2 0.181 0.250 0.862
Pd3 0.201 0.500 0.401

Calculated density, kg/m3: 8319
E_form (uncorrected), eV/atom: -0.410

=====

Entry from Alexandria via LeMat-Bulk: Pm3MgAs4 after structural relaxation (GGA-PBE).

Lattice parameters (Å, degrees): 5.939 5.939 5.939 90.00 90.00 90.00
Space group Pm-3m (No. 221)
Symmetry-distinct sites (fractional):
Pm1 0.000 0.000 0.500
Mg1 0.500 0.500 0.500
As1 0.000 0.000 0.000
As2 0.000 0.500 0.500

Calculated density, kg/m3: 6016
Energy relative to the elements, kJ/mol of atoms: -110.7

=====

Entry from Alexandria via LeMat-Bulk: PmMgAs2 after structural relaxation (GGA-PBE).

Lattice parameters (Å, degrees): 7.102 7.102 7.102 90.00 90.00 90.00
Space group Fm-3m (No. 225)
Symmetry-distinct sites (fractional):
Pm1 0.000 0.000 0.000
Mg1 0.000 0.000 0.500
As1 0.250 0.250 0.250

Calculated density, kg/m3: 5918
Energy relative to the elements, kJ/mol of atoms: -64.5
Distance to the lowest polymorph of the same formula, meV per atom: 164

=====

Entry from Alexandria via LeMat-Bulk: Pm3MgAs after structural relaxation (GGA-PBE).

Lattice parameters (Å, degrees): 5.602 5.602 5.602 90.00 90.00 90.00
Space group Pm-3m (No. 221)
Symmetry-distinct sites (fractional):
Pm1 0.000 0.000 0.500
Mg1 0.500 0.500 0.500
As1 0.000 0.000 0.000

Calculated density, kg/m3: 5046
Energy relative to the elements, kJ/mol of atoms: -33.9

=====

Entry from Alexandria via LeMat-Bulk: PmMgAs2 after structural relaxation (GGA-PBE).

Lattice parameters (Å, degrees): 4.2178 4.2178 18.8870 90.00 90.00 120.00
Space group R-3m (No. 166, hexagonal axes)
Symmetry-distinct sites (fractional):
Pm1 0.0000 0.0000 0.0000
Mg1 0.0000 0.0000 0.5000
As1 0.0000 0.0000 0.2438

Calculated density, kg/m3: 5464
Energy relative to the elements, kJ/mol of atoms: -80.3
Distance to the lowest polymorph of the same formula, meV per atom: 0

=====

Entry from Alexandria via LeMat-Bulk: PmMgAs2 after structural relaxation (GGA-PBE).

Lattice parameters (Å, degrees): 4.800 4.800 3.838 90.00 90.00 90.00
Space group P4/mmm (No. 123)
Symmetry-distinct sites (fractional):
Pm1 0.000 0.000 0.000
Mg1 0.500 0.500 0.000
As1 0.000 0.500 0.500

Calculated density, kg/m3: 5993
Energy relative to the elements, kJ/mol of atoms: -71.6
Distance to the lowest polymorph of the same formula, meV per atom: 90

=====

Entry from Alexandria via LeMat-Bulk: PmMgAsPt after structural relaxation (GGA-PBE).

Lattice parameters (Å, degrees): 6.959 6.959 6.959 90.00 90.00 90.00
Space group F-43m (No. 216)
Symmetry-distinct sites (fractional):
Pm1 0.000 0.000 0.000
Mg1 0.000 0.000 0.500
As1 0.250 0.250 0.250
Pt1 0.250 0.250 0.750

Calculated density, kg/m3: 8658
Energy relative to the elements, kJ/mol of atoms: -80.2

=====

Entry from Alexandria via LeMat-Bulk: Pm2MgAs4Rh3 after structural relaxation (GGA-PBE).

Lattice parameters (Å, degrees): 4.268 4.268 10.512 90.00 90.00 90.00
Space group P-4m2 (No. 115)
Symmetry-distinct sites (fractional):
Pm1 0.000 0.500 0.236
Mg1 0.000 0.000 0.500
As1 0.000 0.000 0.000
As2 0.000 0.500 0.648
As3 0.500 0.500 0.000
Rh1 0.000 0.500 0.881
Rh2 0.500 0.500 0.500

Calculated density, kg/m3: 8002
Energy relative to the elements, kJ/mol of atoms: -85.7

=====

Entry from Alexandria via LeMat-Bulk: PmMgAsRh after structural relaxation (GGA-PBE).

Lattice parameters (Å, degrees): 6.860 6.860 6.860 90.00 90.00 90.00
Space group F-43m (No. 216)
Symmetry-distinct sites (fractional):
Pm1 0.000 0.000 0.000
Mg1 0.000 0.000 0.500
As1 0.250 0.250 0.750
Rh1 0.250 0.250 0.250

Calculated density, kg/m3: 7142
Energy relative to the elements, kJ/mol of atoms: -55.8

=====

Entry from Alexandria via LeMat-Bulk: Pr2MgAs4Rh3 after structural relaxation (GGA-PBE).

Lattice parameters (Å, degrees): 4.307 4.307 10.479 90.00 90.00 90.00
Space group P-4m2 (No. 115)
Symmetry-distinct sites (fractional):
Pr1 0.000 0.500 0.236
Mg1 0.000 0.000 0.500
As1 0.000 0.000 0.000
As2 0.000 0.500 0.647
As3 0.500 0.500 0.000
Rh1 0.000 0.500 0.883
Rh2 0.500 0.500 0.500

Calculated density, kg/m3: 7811
Energy relative to the elements, kJ/mol of atoms: -86.9

=====

Entry from Alexandria via LeMat-Bulk: MgAs2Pt after structural relaxation (GGA-PBE).

Lattice parameters (Å, degrees): 3.309 4.393 11.098 90.00 90.00 90.00
Space group Immm (No. 71)
Symmetry-distinct sites (fractional):
Mg1 0.000 0.000 0.000
As1 0.000 0.500 0.177
Pt1 0.000 0.000 0.500

Calculated density, kg/m3: 7602
Energy relative to the elements, kJ/mol of atoms: -26.9

=====

Entry from Alexandria via LeMat-Bulk: MgAs2Pt after structural relaxation (GGA-PBE).

Lattice parameters (Å, degrees): 3.933 4.182 4.266 90.00 90.00 90.00
Space group Pmmm (No. 47)
Symmetry-distinct sites (fractional):
Mg1 0.000 0.000 0.000
As1 0.500 0.000 0.500
As2 0.500 0.500 0.000
Pt1 0.000 0.500 0.500

Calculated density, kg/m3: 8738
Energy relative to the elements, kJ/mol of atoms: -19.6

=====

Entry from Alexandria via LeMat-Bulk: Mg3AsPt after structural relaxation (GGA-PBE).

Lattice parameters (Å, degrees): 4.938 4.938 4.938 90.00 90.00 90.00
Space group Pm-3m (No. 221)
Symmetry-distinct sites (fractional):
Mg1 0.000 0.000 0.500
As1 0.500 0.500 0.500
Pt1 0.000 0.000 0.000

Calculated density, kg/m3: 4730
Energy relative to the elements, kJ/mol of atoms: -17.2
Distance to the lowest polymorph of the same formula, meV per atom: 0

=====

Entry from Alexandria via LeMat-Bulk: MgAs2Pt after structural relaxation (GGA-PBE).

Lattice parameters (Å, degrees): 3.058 3.058 8.086 90.00 90.00 90.00
Space group P4mm (No. 99)
Symmetry-distinct sites (fractional):
Mg1 0.000 0.000 0.000
As1 0.000 0.000 0.417
As2 0.500 0.500 0.761
Pt1 0.500 0.500 0.232

Calculated density, kg/m3: 8110
Energy relative to the elements, kJ/mol of atoms: -23.9

=====

Entry from Alexandria via LeMat-Bulk: MgAs2Pt after structural relaxation (GGA-PBE).

Lattice parameters (Å, degrees): 3.168 3.168 7.240 90.00 90.00 90.00
Space group P4/mmm (No. 123)
Symmetry-distinct sites (fractional):
Mg1 0.000 0.000 0.000
As1 0.500 0.500 0.273
Pt1 0.000 0.000 0.500

Calculated density, kg/m3: 8436
Energy relative to the elements, kJ/mol of atoms: -7.9

=====

Entry from Alexandria via LeMat-Bulk: MgAs2Pt after structural relaxation (GGA-PBE).

Lattice parameters (Å, degrees): 10.200 3.929 4.677 90.00 95.11 90.00
Space group Cm (No. 8)
Symmetry-distinct sites (fractional):
Mg1 0.000 0.000 0.000
As1 0.241 0.000 0.841
As2 0.394 0.000 0.293
Pt1 0.318 0.500 0.570

Calculated density, kg/m3: 6567
Energy relative to the elements, kJ/mol of atoms: -35.7

=====

Entry from Alexandria via LeMat-Bulk: Mg4AsPt after structural relaxation (GGA-PBE).

Lattice parameters (Å, degrees): 7.762 7.762 7.762 90.00 90.00 90.00
Space group F-43m (No. 216)
Symmetry-distinct sites (fractional):
Mg1 0.124 0.124 0.124
As1 0.000 0.000 0.500
Pt1 0.250 0.250 0.750

Calculated density, kg/m3: 5217
Energy relative to the elements, kJ/mol of atoms: 4.9

=====

Entry from Alexandria via LeMat-Bulk: MgAs2Pt after structural relaxation (GGA-PBE).

Lattice parameters (Å, degrees): 4.447 3.864 4.855 90.00 104.45 90.00
Space group P2/m (No. 10)
Symmetry-distinct sites (fractional):
Mg1 0.000 0.000 0.000
As1 0.247 0.500 0.686
Pt1 0.500 0.000 0.500

Calculated density, kg/m3: 7590
Energy relative to the elements, kJ/mol of atoms: -37.6